1.
4
Lattice="-2.8473 1.5085 -1.1627 -1.9009 -2.3808 1.5662 -0.2631 4.3280 6.2597" Properties=species:S:1:pos:R:3 comment="CdHg2Cl, optimized geometry, DFT PBEsol" dft_energy_ev_per_atom=-1.250 volume_a3_per_cell=89.4 sg="No. 123" formation_energy_uncorrected_ev_per_atom=-0.166 pbc="T T T"
Cl -2.5056 1.7278 3.3316
Hg -0.0642 1.0566 1.5283
Hg -0.1988 3.2713 4.7315
Cd -2.3741 -0.4361 0.2018


2.
4
Lattice="3.8657 0.0485 0.0710 -1.0771 5.0283 0.0584 -1.0771 -1.7746 4.7051" Properties=species:S:1:pos:R:3 comment="Cd2HgCl, optimized geometry, DFT PBEsol" dft_energy_ev_per_atom=-1.430 volume_a3_per_cell=92.6 sg="No. 12" formation_energy_uncorrected_ev_per_atom=-0.188 pbc="T T T"
Hg 0.8558 1.6511 2.4173
Cd -0.5385 2.5141 0.0292
Cd -0.5385 -0.8873 2.3526
Cl 1.9329 0.0242 0.0355


3.
5
Lattice="-3.0813 3.3482 -2.4831 -3.5547 -3.7233 -0.6095 -2.2714 1.3984 4.7042" Properties=species:S:1:pos:R:3 comment="NbCd2HgCl, optimized geometry, DFT PBEsol" dft_energy_ev_per_atom=-2.324 volume_a3_per_cell=145.3 sg="No. 123" formation_energy_uncorrected_ev_per_atom=0.835 pbc="T T T"
Cd -1.5406 1.6741 -1.2415
Cd -1.7773 -1.8617 -0.3047
Cl -4.4536 0.5117 0.8058
Nb -1.1357 0.6992 2.3521
Hg 0.0000 0.0000 0.0000


Question: Number 1 is which compound?
Answer: CdHg2Cl


Question: Number 3 is which compound?
Answer: NbCd2HgCl